First-principles (PBE-GGA) data for a relaxed structure of La12Sn3N5, as listed in Alexandria.

E_form (uncorrected) = -86.8 kJ/mol of atoms
Density of states at the Fermi level = 51.97 states/eV/cell
Volume = 28.40 A^3/atom
Calculated density = 6.1 g/cm³
Energy = -523.044 eV per cell
Space-group type = No. 230
Crystal system = cubic
Magnetization = 0.000 μB/atom

CIF file:
```
data_La12Sn3N5
_cell_length_a 14.344
_cell_length_b 14.344
_cell_length_c 14.344
_cell_angle_alpha 109.47
_cell_angle_beta 109.47
_cell_angle_gamma 109.47
_space_group_name_H-M_alt 'P 1'
_space_group_IT_number 1
loop_
_space_group_symop_operation_xyz
'x,y,z'
loop_
_atom_site_label
_atom_site_type_symbol
_atom_site_fract_x
_atom_site_fract_y
_atom_site_fract_z
La1 La 0.011 0.197 0.109
La2 La 0.011 0.315 0.903
La3 La 0.088 0.697 0.685
La4 La 0.088 0.891 0.403
La5 La 0.097 0.609 0.412
La6 La 0.097 0.989 0.685
La7 La 0.109 0.011 0.197
La8 La 0.109 0.597 0.912
La9 La 0.185 0.197 0.588
La10 La 0.185 0.489 0.597
La11 La 0.197 0.109 0.011
La12 La 0.197 0.588 0.185
La13 La 0.303 0.315 0.912
La14 La 0.303 0.489 0.391
La15 La 0.315 0.903 0.011
La16 La 0.315 0.912 0.303
La17 La 0.391 0.303 0.489
La18 La 0.391 0.588 0.903
La19 La 0.403 0.088 0.891
La20 La 0.403 0.815 0.511
La21 La 0.412 0.097 0.609
La22 La 0.412 0.815 0.803
La23 La 0.489 0.391 0.303
La24 La 0.489 0.597 0.185
La25 La 0.511 0.403 0.815
La26 La 0.511 0.609 0.697
La27 La 0.588 0.185 0.197
La28 La 0.588 0.903 0.391
La29 La 0.597 0.185 0.489
La30 La 0.597 0.912 0.109
La31 La 0.609 0.412 0.097
La32 La 0.609 0.697 0.511
La33 La 0.685 0.088 0.697
La34 La 0.685 0.097 0.989
La35 La 0.697 0.511 0.609
La36 La 0.697 0.685 0.088
La37 La 0.803 0.412 0.815
La38 La 0.803 0.891 0.989
La39 La 0.815 0.511 0.403
La40 La 0.815 0.803 0.412
La41 La 0.891 0.403 0.088
La42 La 0.891 0.989 0.803
La43 La 0.903 0.011 0.315
La44 La 0.903 0.391 0.588
La45 La 0.912 0.109 0.597
La46 La 0.912 0.303 0.315
La47 La 0.989 0.685 0.097
La48 La 0.989 0.803 0.891
Sn1 Sn 0.125 0.250 0.375
Sn2 Sn 0.125 0.375 0.750
Sn3 Sn 0.250 0.375 0.125
Sn4 Sn 0.250 0.875 0.625
Sn5 Sn 0.375 0.125 0.250
Sn6 Sn 0.375 0.750 0.125
Sn7 Sn 0.625 0.250 0.875
Sn8 Sn 0.625 0.875 0.750
Sn9 Sn 0.750 0.125 0.375
Sn10 Sn 0.750 0.625 0.875
Sn11 Sn 0.875 0.625 0.250
Sn12 Sn 0.875 0.750 0.625
N1 N 0.000 0.000 0.000
N2 N 0.000 0.000 0.500
N3 N 0.000 0.500 0.000
N4 N 0.000 0.500 0.500
N5 N 0.125 0.750 0.875
N6 N 0.125 0.875 0.250
N7 N 0.250 0.125 0.875
N8 N 0.250 0.625 0.375
N9 N 0.375 0.250 0.625
N10 N 0.375 0.625 0.750
N11 N 0.500 0.000 0.000
N12 N 0.500 0.000 0.500
N13 N 0.500 0.500 0.000
N14 N 0.500 0.500 0.500
N15 N 0.625 0.375 0.250
N16 N 0.625 0.750 0.375
N17 N 0.750 0.375 0.625
N18 N 0.750 0.875 0.125
N19 N 0.875 0.125 0.750
N20 N 0.875 0.250 0.125
```